# TbMnSn2Te5 PBE optimized geometry
# Crystal system: orthorhombic
# E, eV per atom: -4.6664
# Formation energy from raw total energies, eV/atom: -0.498
data_TbMnSn2Te5
_chemical_formula_sum 'Tb2 Mn2 Sn4 Te10'
_symmetry_space_group_name_H-M 'P 1'
_symmetry_Int_Tables_number 1
_cell_length_a 4.324
_cell_length_b 10.316
_cell_length_c 14.146
_cell_angle_alpha 90.00
_cell_angle_beta 90.00
_cell_angle_gamma 102.10
loop_
_symmetry_equiv_pos_as_xyz
'x,y,z'
loop_
_atom_site_label
_atom_site_fract_x
_atom_site_fract_y
_atom_site_fract_z
Te1 0.317 0.635 0.673
Te2 0.500 0.000 0.764
Te3 0.657 0.314 0.521
Te4 0.343 0.686 0.021
Te5 0.500 0.000 0.264
Te6 0.969 0.939 0.524
Te7 0.309 0.619 0.361
Te8 0.031 0.061 0.024
Te9 0.683 0.365 0.173
Te10 0.691 0.381 0.861
Sn1 0.074 0.147 0.367
Sn2 0.172 0.343 0.670
Sn3 0.828 0.657 0.170
Sn4 0.926 0.853 0.867
Tb1 0.807 0.615 0.521
Tb2 0.193 0.385 0.021
Mn1 0.568 0.136 0.923
Mn2 0.432 0.864 0.423